(1)
The following is a GGA-PBE calculation of a geometry-optimized NaAcDy2Se4 structure, from the Alexandria database.

* crystal system: monoclinic
* V: 213.70 Å³ per cell
* symmetry: P2/m
* formation energy without anion corrections: -1749.2 meV/atom
* spin magnetization: 0.000 μB/cell
* N(E_F): 0.328 states/eV/atom

Geometry as POSCAR:
```
NaAcDy2Se4
1.0
-1.7249 -1.0567 -3.6459
3.7602 -6.4505 0.0906
-4.0415 -4.9856 3.3570
Dy Se Ac Na
2 4 1 1
Cartesian
-4.0414 -4.9856 3.3570 Dy
-2.8832 -3.0212 -0.1445 Dy
-1.9344 -3.8554 -2.7357 Se
-0.0717 -8.6375 2.5374 Se
-3.0340 -5.7662 0.7225 Se
1.0279 -6.7267 -0.9208 Se
1.0177 -3.7536 -1.7777 Ac
-0.1407 -5.7181 1.7238 Na
```


(2)
The following is a GGA-PBE calculation of a geometry-optimized Ac2Zn4Sn3Au structure, from the Alexandria database.

* crystal system: tetragonal
* V: 239.76 Å³ per cell
* symmetry: P-4m2
* spin magnetization: 0.000 μB/cell
* ΔE_f: -441 kJ/mol of formula units
* N(E_F): 0.385 states/eV/atom

Geometry as POSCAR:
```
Ac2Zn4Sn3Au
1.0
-2.8206 1.7830 -3.2524
-3.3053 -3.0621 1.1878
-3.9877 7.1711 7.3896
Ac Au Zn Sn
2 1 4 3
Cartesian
-4.6311 3.8250 6.1132 Ac
-2.4196 2.7065 0.2441 Ac
-5.0568 2.9460 2.6625 Au
-3.0630 -0.6396 -1.0323 Zn
0.0000 0.0000 0.0000 Zn
-3.1443 1.1514 3.3581 Zn
-3.9064 5.3802 2.9993 Zn
-2.1863 -0.5714 1.5828 Sn
-4.8644 7.1029 4.7745 Sn
-1.9939 3.5855 3.6948 Sn
```


(3)
The following is a GGA-PBE calculation of a geometry-optimized TiINO2 structure, from the Alexandria database.

* crystal system: tetragonal
* V: 71.38 Å³ per cell
* symmetry: P4/mmm
* formation energy without anion corrections: 680.2 meV/atom
* spin magnetization: 0.003 μB/cell
* N(E_F): 1.494 states/eV/atom

Geometry as POSCAR:
```
TiINO2
1.0
4.1228 0.0000 0.0000
0.0000 4.1228 0.0000
0.0000 0.0000 4.1996
I O N Ti
1 2 1 1
Cartesian
0.0000 0.0000 0.0000 I
2.0614 0.0000 0.0000 O
0.0000 2.0614 0.0000 O
0.0000 0.0000 2.0998 N
2.0614 2.0614 2.0998 Ti
```


(4)
The following is a GGA-PBE calculation of a geometry-optimized TcP2Os structure, from the Alexandria database.

* crystal system: cubic
* V: 56.50 Å³ per cell
* symmetry: F-43m
* spin magnetization: 0.000 μB/cell
* excess energy over the best structure of this formula in the dataset: 0.942 eV/atom
* ΔE_f: 246 kJ/mol of formula units
* N(E_F): 1.413 states/eV/atom

Geometry as POSCAR:
```
TcP2Os
1.0
-2.9729 3.0909 0.4003
-2.9897 0.5214 -3.0564
-4.1011 -1.0469 0.7981
P Os Tc
2 1 1
Cartesian
-2.5159 0.6413 -0.4645 P
0.0000 0.0000 0.0000 P
-5.0318 1.2827 -0.9290 Os
-7.5478 1.9240 -1.3935 Tc
```